Record 1
DFT (PBE+U) results for a relaxed structure of Na2FeAgF6.

a b c (Å): 5.5804 5.9218 9.8211
angles (deg): 90.00 123.48 90.00
Space group P2_1/c (No. 14)
Symmetry-distinct sites (fractional):
Na 0.2181 0.0448 0.2308 [4 per cell]
Fe 0.5000 0.0000 0.0000 [2 per cell]
Ag 0.0000 0.0000 0.5000 [2 per cell]
F 0.1750 0.1647 0.9635 [4 per cell]
F 0.2493 0.7434 0.9021 [4 per cell]
F 0.4157 0.0962 0.7920 [4 per cell]

Output
Polymorph energy (0 for the lowest one), meV per atom: 94

***

Record 2
DFT (PBE+U) results for a relaxed structure of Na2FeAg2F6.

a b c (Å): 5.8300 9.7092 6.1316
angles (deg): 90.00 110.38 90.00
Space group C2/m (No. 12)
Symmetry-distinct sites (fractional):
Na 0.0000 0.1607 0.0000 [4 per cell]
Fe 0.0000 0.5000 0.0000 [2 per cell]
Ag 0.0000 0.3173 0.5000 [4 per cell]
F 0.2200 0.5000 0.7886 [4 per cell]
F 0.2238 0.3436 0.2037 [8 per cell]

Output
E, eV/atom: -4.2925

***

Record 3
DFT (PBE+U) results for a relaxed structure of Na2FeAgF6.

a b c (Å): 8.6041 8.6041 8.6041
angles (deg): 90.00 90.00 90.00
Space group Fm-3m (No. 225)
Symmetry-distinct sites (fractional):
Na 0.2500 0.2500 0.2500 [8 per cell]
Fe 0.0000 0.0000 0.0000 [4 per cell]
Ag 0.0000 0.0000 0.5000 [4 per cell]
F 0.0000 0.0000 0.2261 [24 per cell]

Output
Polymorph energy (0 for the lowest one), meV per atom: 0

***

Record 4
DFT (PBE+U) results for a relaxed structure of FeNiAgF6.

a b c (Å): 5.3343 5.3343 10.4170
angles (deg): 90.00 90.00 120.00
Space group P-31c (No. 163)
Symmetry-distinct sites (fractional):
Fe 0.3333 0.6667 0.2500 [2 per cell]
Ni 0.3333 0.6667 0.7500 [2 per cell]
Ag 0.0000 0.0000 0.0000 [2 per cell]
F 0.0095 0.3752 0.1466 [12 per cell]

Output
E, eV/atom: -4.5210

***

Record 5
DFT (PBE+U) results for a relaxed structure of Fe2NiAgF.

a b c (Å): 4.3041 4.3041 4.0507
angles (deg): 90.00 90.00 90.00
Space group P4/mmm (No. 123)
Symmetry-distinct sites (fractional):
Fe 0.0000 0.5000 0.0000 [2 per cell]
Ni 0.0000 0.0000 0.5000 [1 per cell]
Ag 0.5000 0.5000 0.5000 [1 per cell]
F 0.0000 0.0000 0.0000 [1 per cell]

Output
E, eV/atom: -3.3610

***

Record 6
DFT (PBE+U) results for a relaxed structure of FeNiAg2F6.

a b c (Å): 5.7907 8.0365 5.7893
angles (deg): 90.00 90.00 90.00
Space group Pmmn (No. 59, origin choice 2)
Symmetry-distinct sites (fractional):
Fe 0.2500 0.2500 0.2493 [2 per cell]
Ni 0.2500 0.7500 0.2506 [2 per cell]
Ag 0.2500 0.0001 0.7497 [4 per cell]
F 0.0049 0.7500 0.0069 [4 per cell]
F 0.0062 0.7500 0.4957 [4 per cell]
F 0.2500 0.5006 0.2502 [4 per cell]

Output
E, eV/atom: -4.2495

***

no.,total magnetic moment (Bohr magnetons per cell)
1,2.090
2,8.000
3,19.966
4,13.811
5,7.768
6,11.999